#a
Density functional theory data (GGA-PBE) for a relaxed SrBe3Ag crystal.

Output
The calculation puts the spin magnetization at 0.00 μB per formula unit.

a b c (Å): 5.551 5.551 5.551
angles (deg): 90.00 90.00 90.00
Positions (direct):
Sr 0.000 0.000 0.000
Be 0.000 0.000 0.500
Be 0.000 0.500 0.000
Be 0.500 0.000 0.000
Ag 0.500 0.500 0.500

#b
Density functional theory data (GGA-PBE) for a relaxed SrBe3Ag crystal.

Output
The calculation puts the spin magnetization at 0.00 μB per formula unit.

a b c (Å): 4.518 4.518 4.518
angles (deg): 90.00 90.00 90.00
Positions (direct):
Sr 0.000 0.000 0.000
Be 0.000 0.500 0.500
Be 0.500 0.000 0.500
Be 0.500 0.500 0.000
Ag 0.500 0.500 0.500

Pick the most stable structure from those above. Pick: #b